# PBE TbPm2Cl6, relaxed
# Total magnetic moment: 0.0 μB/f.u.
# Formation energy (no corrections): -41.18 kcal/mol of atoms
data_TbPm2Cl6
_space_group_name_H-M_alt 'C 1 2/m 1'
_space_group_IT_number 12
_space_group_name_Hall '-C 2y'
_cell_length_a 14.277
_cell_length_b 5.007
_cell_length_c 9.041
_cell_angle_alpha 90.00
_cell_angle_beta 124.96
_cell_angle_gamma 90.00
loop_
_atom_site_label
_atom_site_fract_x
_atom_site_fract_y
_atom_site_fract_z
Tb1 0.000 0.000 0.000
Pm1 0.137 0.000 0.554
Cl1 0.074 0.000 0.788
Cl2 0.131 0.500 0.121
Cl3 0.231 0.500 0.608

# PBE TbPmCl3, relaxed
# Total magnetic moment: 0.0 μB/f.u.
# Formation energy (no corrections): -42.50 kcal/mol of atoms
data_TbPmCl3
_space_group_name_H-M_alt 'C 1 2/m 1'
_space_group_IT_number 12
_space_group_name_Hall '-C 2y'
_cell_length_a 15.829
_cell_length_b 3.916
_cell_length_c 10.600
_cell_angle_alpha 90.00
_cell_angle_beta 119.26
_cell_angle_gamma 90.00
loop_
_atom_site_label
_atom_site_fract_x
_atom_site_fract_y
_atom_site_fract_z
Tb1 0.087 0.000 0.452
Pm1 0.140 0.500 0.792
Cl1 0.047 0.500 0.247
Cl2 0.158 0.000 0.007
Cl3 0.225 0.500 0.615

# PBE TbPmTe2Cl, relaxed
# Total magnetic moment: 0.0 μB/f.u.
# Formation energy (no corrections): -37.06 kcal/mol of atoms
data_TbPmTe2Cl
_space_group_name_H-M_alt 'P 4/n m m'
_space_group_IT_number 129
_cell_length_a 4.340
_cell_length_b 4.340
_cell_length_c 15.028
_cell_angle_alpha 90.00
_cell_angle_beta 90.00
_cell_angle_gamma 90.00
loop_
_space_group_symop_operation_xyz
'x,y,z'
'-x,-y,-z'
'-y+1/2,x,z'
'y+1/2,-x,-z'
'-x+1/2,-y+1/2,z'
'x+1/2,y+1/2,-z'
'y,-x+1/2,z'
'-y,x+1/2,-z'
'x+1/2,-y,-z'
'-x+1/2,y,z'
'-y,-x,-z'
'y,x,z'
'-x,y+1/2,-z'
'x,-y+1/2,z'
'y+1/2,x+1/2,-z'
'-y+1/2,-x+1/2,z'
loop_
_atom_site_label
_atom_site_fract_x
_atom_site_fract_y
_atom_site_fract_z
Tb1 0.250 0.250 0.084
Pm1 0.250 0.250 0.633
Te1 0.250 0.250 0.295
Te2 0.250 0.250 0.876
Cl1 0.250 0.750 0.500

# PBE Pm2TcCl, relaxed
# Total magnetic moment: 0.0 μB/f.u.
# Formation energy (no corrections): -15.58 kcal/mol of atoms
# Polymorph energy (0 for the lowest one): 0 meV/atom
data_Pm2TcCl
_space_group_name_H-M_alt 'P 4/m m m'
_space_group_IT_number 123
_space_group_name_Hall '-P 4 2'
_cell_length_a 3.471
_cell_length_b 3.471
_cell_length_c 7.964
_cell_angle_alpha 90.00
_cell_angle_beta 90.00
_cell_angle_gamma 90.00
loop_
_atom_site_label
_atom_site_fract_x
_atom_site_fract_y
_atom_site_fract_z
Pm1 0.000 0.000 0.214
Tc1 0.500 0.500 0.000
Cl1 0.500 0.500 0.500

# PBE Pm7TcCl12, relaxed
# Total magnetic moment: 2.0 μB/f.u.
# Formation energy (no corrections): -42.27 kcal/mol of atoms
data_Pm7TcCl12
_space_group_name_H-M_alt 'R -3'
_space_group_IT_number 148
_space_group_name_Hall '-R 3'
_cell_length_a 14.8233
_cell_length_b 14.8233
_cell_length_c 10.3940
_cell_angle_alpha 90.00
_cell_angle_beta 90.00
_cell_angle_gamma 120.00
loop_
_atom_site_label
_atom_site_fract_x
_atom_site_fract_y
_atom_site_fract_z
Pm1 0.0000 0.0000 0.0000
Pm2 0.0375 0.1690 0.3540
Tc1 0.0000 0.0000 0.5000
Cl1 0.0251 0.5773 0.1581
Cl2 0.0386 0.1601 0.8357

# PBE Pm5TcCl5, relaxed
# Total magnetic moment: 0.0 μB/f.u.
# Formation energy (no corrections): -29.92 kcal/mol of atoms
data_Pm5TcCl5
_space_group_name_H-M_alt 'C 1 2/m 1'
_space_group_IT_number 12
_space_group_name_Hall '-C 2y'
_cell_length_a 12.345
_cell_length_b 5.678
_cell_length_c 8.784
_cell_angle_alpha 90.00
_cell_angle_beta 106.27
_cell_angle_gamma 90.00
loop_
_atom_site_label
_atom_site_fract_x
_atom_site_fract_y
_atom_site_fract_z
Pm1 0.000 0.000 0.000
Pm2 0.154 0.500 0.295
Pm3 0.165 0.500 0.845
Tc1 0.000 0.500 0.000
Cl1 0.000 0.500 0.500
Cl2 0.126 0.000 0.750
Cl3 0.176 0.000 0.368

# PBE Pm5Tc2Cl2, relaxed
# Total magnetic moment: 0.0 μB/f.u.
# Formation energy (no corrections): -12.47 kcal/mol of atoms
data_Pm5Tc2Cl2
_space_group_name_H-M_alt 'C m c e'
_space_group_IT_number 64
_space_group_name_Hall '-C 2ac 2'
_cell_length_a 17.008
_cell_length_b 7.731
_cell_length_c 7.719
_cell_angle_alpha 90.00
_cell_angle_beta 90.00
_cell_angle_gamma 90.00
loop_
_atom_site_label
_atom_site_fract_x
_atom_site_fract_y
_atom_site_fract_z
Pm1 0.000 0.000 0.000
Pm2 0.118 0.175 0.327
Tc1 0.000 0.113 0.612
Cl1 0.241 0.000 0.000

# PBE Pm2TcCl, relaxed
# Total magnetic moment: 1.1 μB/f.u.
# Formation energy (no corrections): 0.03 kcal/mol of atoms
# Polymorph energy (0 for the lowest one): 677 meV/atom
data_Pm2TcCl
_space_group_name_H-M_alt 'R -3 m'
_space_group_IT_number 166
_space_group_name_Hall '-R 3 2"'
_cell_length_a 3.3032
_cell_length_b 3.3032
_cell_length_c 30.2135
_cell_angle_alpha 90.00
_cell_angle_beta 90.00
_cell_angle_gamma 120.00
loop_
_atom_site_label
_atom_site_fract_x
_atom_site_fract_y
_atom_site_fract_z
Pm1 0.0000 0.0000 0.0893
Tc1 0.0000 0.0000 0.0000
Cl1 0.0000 0.0000 0.5000

# PBE Pm6ZnTc2Cl3, relaxed
# Total magnetic moment: 0.0 μB/f.u.
# Formation energy (no corrections): -16.42 kcal/mol of atoms
data_Pm6ZnTc2Cl3
_space_group_name_H-M_alt 'C 1 2/m 1'
_space_group_IT_number 12
_space_group_name_Hall '-C 2y'
_cell_length_a 7.068
_cell_length_b 11.776
_cell_length_c 8.110
_cell_angle_alpha 90.00
_cell_angle_beta 106.73
_cell_angle_gamma 90.00
loop_
_atom_site_label
_atom_site_fract_x
_atom_site_fract_y
_atom_site_fract_z
Pm1 0.245 0.179 0.300
Pm2 0.249 0.000 0.744
Zn1 0.000 0.500 0.500
Tc1 0.000 0.136 0.500
Cl1 0.000 0.000 0.000
Cl2 0.000 0.322 0.000

# PBE Pm2Te2Cl, relaxed
# Total magnetic moment: 0.0 μB/f.u.
# Formation energy (no corrections): -37.49 kcal/mol of atoms
# Polymorph energy (0 for the lowest one): 13 meV/atom
data_Pm2Te2Cl
_space_group_name_H-M_alt 'C 1 2/m 1'
_space_group_IT_number 12
_space_group_name_Hall '-C 2y'
_cell_length_a 13.855
_cell_length_b 6.242
_cell_length_c 8.631
_cell_angle_alpha 90.00
_cell_angle_beta 114.15
_cell_angle_gamma 90.00
loop_
_atom_site_label
_atom_site_fract_x
_atom_site_fract_y
_atom_site_fract_z
Pm1 0.008 0.000 0.249
Pm2 0.165 0.500 0.084
Te1 0.018 0.500 0.280
Te2 0.184 0.000 0.114
Cl1 0.144 0.000 0.606

# PBE Pm2TeCl3, relaxed
# Total magnetic moment: 0.0 μB/f.u.
# Formation energy (no corrections): -42.94 kcal/mol of atoms
data_Pm2TeCl3
_space_group_name_H-M_alt 'C 1 2/m 1'
_space_group_IT_number 12
_space_group_name_Hall '-C 2y'
_cell_length_a 17.209
_cell_length_b 4.299
_cell_length_c 13.960
_cell_angle_alpha 90.00
_cell_angle_beta 127.65
_cell_angle_gamma 90.00
loop_
_atom_site_label
_atom_site_fract_x
_atom_site_fract_y
_atom_site_fract_z
Pm1 0.108 0.000 0.446
Pm2 0.143 0.500 0.855
Te1 0.120 0.000 0.682
Cl1 0.061 0.500 0.281
Cl2 0.150 0.000 0.999
Cl3 0.236 0.500 0.586

# PBE Pm4Te3Cl, relaxed
# Total magnetic moment: 0.0 μB/f.u.
# Formation energy (no corrections): -31.89 kcal/mol of atoms
data_Pm4Te3Cl
_space_group_name_H-M_alt 'P m m n'
_space_group_IT_number 59
_cell_length_a 6.037
_cell_length_b 12.041
_cell_length_c 6.590
_cell_angle_alpha 90.00
_cell_angle_beta 90.00
_cell_angle_gamma 90.00
loop_
_space_group_symop_operation_xyz
'x,y,z'
'-x,-y,-z'
'-x+1/2,-y+1/2,z'
'x+1/2,y+1/2,-z'
'x+1/2,-y,-z'
'-x+1/2,y,z'
'-x,y+1/2,-z'
'x,-y+1/2,z'
loop_
_atom_site_label
_atom_site_fract_x
_atom_site_fract_y
_atom_site_fract_z
Pm1 0.250 0.003 0.182
Pm2 0.250 0.250 0.833
Pm3 0.250 0.750 0.808
Te1 0.250 0.002 0.695
Te2 0.250 0.750 0.298
Cl1 0.250 0.250 0.269

# PBE PmTeCl, relaxed
# Total magnetic moment: 0.0 μB/f.u.
# Formation energy (no corrections): -41.36 kcal/mol of atoms
# Polymorph energy (0 for the lowest one): 0 meV/atom
data_PmTeCl
_space_group_name_H-M_alt 'P -1'
_space_group_IT_number 2
_space_group_name_Hall '-P 1'
_cell_length_a 4.555
_cell_length_b 6.148
_cell_length_c 7.591
_cell_angle_alpha 70.08
_cell_angle_beta 89.91
_cell_angle_gamma 89.95
loop_
_atom_site_label
_atom_site_fract_x
_atom_site_fract_y
_atom_site_fract_z
Pm1 0.249 0.344 0.289
Te1 0.251 0.790 0.405
Cl1 0.250 0.712 0.929

# PBE Pm5Te4Cl, relaxed
# Total magnetic moment: 0.0 μB/f.u.
# Formation energy (no corrections): -31.57 kcal/mol of atoms
# Polymorph energy (0 for the lowest one): 0 meV/atom
data_Pm5Te4Cl
_space_group_name_H-M_alt 'R -3 m'
_space_group_IT_number 166
_space_group_name_Hall '-R 3 2"'
_cell_length_a 4.4079
_cell_length_b 4.4079
_cell_length_c 53.3297
_cell_angle_alpha 90.00
_cell_angle_beta 90.00
_cell_angle_gamma 120.00
loop_
_atom_site_label
_atom_site_fract_x
_atom_site_fract_y
_atom_site_fract_z
Pm1 0.0000 0.0000 0.0000
Pm2 0.0000 0.0000 0.1940
Pm3 0.0000 0.0000 0.4029
Te1 0.0000 0.0000 0.1048
Te2 0.0000 0.0000 0.2986
Cl1 0.0000 0.0000 0.5000

# PBE Pm3Te3Cl, relaxed
# Total magnetic moment: 0.0 μB/f.u.
# Formation energy (no corrections): -31.13 kcal/mol of atoms
data_Pm3Te3Cl
_space_group_name_H-M_alt 'R 3 m'
_space_group_IT_number 160
_space_group_name_Hall 'R 3 -2"'
_cell_length_a 9.7105
_cell_length_b 9.7105
_cell_length_c 7.7118
_cell_angle_alpha 90.00
_cell_angle_beta 90.00
_cell_angle_gamma 120.00
loop_
_atom_site_label
_atom_site_fract_x
_atom_site_fract_y
_atom_site_fract_z
Pm1 0.0017 0.5008 0.0000
Te1 0.2021 0.4042 0.7323
Cl1 0.0000 0.0000 0.4999

# PBE PmTeCl, relaxed
# Total magnetic moment: 0.0 μB/f.u.
# Formation energy (no corrections): -38.07 kcal/mol of atoms
# Polymorph energy (0 for the lowest one): 143 meV/atom
data_PmTeCl
_space_group_name_H-M_alt 'P -6 m 2'
_space_group_IT_number 187
_space_group_name_Hall 'P -6 2'
_cell_length_a 4.7719
_cell_length_b 4.7719
_cell_length_c 4.2861
_cell_angle_alpha 90.00
_cell_angle_beta 90.00
_cell_angle_gamma 120.00
loop_
_atom_site_label
_atom_site_fract_x
_atom_site_fract_y
_atom_site_fract_z
Pm1 0.0000 0.0000 0.0000
Te1 0.6667 0.3333 0.5000
Cl1 0.3333 0.6667 0.0000

# PBE Pm3Te2Cl2, relaxed
# Total magnetic moment: 0.0 μB/f.u.
# Formation energy (no corrections): -33.91 kcal/mol of atoms
data_Pm3Te2Cl2
_space_group_name_H-M_alt 'C 1 2/m 1'
_space_group_IT_number 12
_space_group_name_Hall '-C 2y'
_cell_length_a 13.802
_cell_length_b 4.212
_cell_length_c 7.213
_cell_angle_alpha 90.00
_cell_angle_beta 97.67
_cell_angle_gamma 90.00
loop_
_atom_site_label
_atom_site_fract_x
_atom_site_fract_y
_atom_site_fract_z
Pm1 0.000 0.000 0.000
Pm2 0.246 0.500 0.227
Te1 0.117 0.000 0.392
Cl1 0.116 0.500 0.866

# PBE Pm5Te4Cl, relaxed
# Total magnetic moment: 0.0 μB/f.u.
# Formation energy (no corrections): -30.76 kcal/mol of atoms
# Polymorph energy (0 for the lowest one): 35 meV/atom
data_Pm5Te4Cl
_space_group_name_H-M_alt 'I 4/m m m'
_space_group_IT_number 139
_space_group_name_Hall '-I 4 2'
_cell_length_a 4.416
_cell_length_b 4.416
_cell_length_c 31.337
_cell_angle_alpha 90.00
_cell_angle_beta 90.00
_cell_angle_gamma 90.00
loop_
_atom_site_label
_atom_site_fract_x
_atom_site_fract_y
_atom_site_fract_z
Pm1 0.000 0.000 0.000
Pm2 0.000 0.000 0.195
Pm3 0.000 0.000 0.400
Te1 0.000 0.000 0.097
Te2 0.000 0.000 0.299
Cl1 0.000 0.000 0.500

# PBE PmTeCl, relaxed
# Total magnetic moment: 0.0 μB/f.u.
# Formation energy (no corrections): -34.06 kcal/mol of atoms
# Polymorph energy (0 for the lowest one): 317 meV/atom
data_PmTeCl
_space_group_name_H-M_alt 'I 4 m m'
_space_group_IT_number 107
_space_group_name_Hall 'I 4 -2'
_cell_length_a 3.922
_cell_length_b 3.922
_cell_length_c 10.480
_cell_angle_alpha 90.00
_cell_angle_beta 90.00
_cell_angle_gamma 90.00
loop_
_atom_site_label
_atom_site_fract_x
_atom_site_fract_y
_atom_site_fract_z
Pm1 0.000 0.000 0.000
Te1 0.000 0.000 0.335
Cl1 0.000 0.000 0.637

# PBE PmTeCl, relaxed
# Total magnetic moment: 0.0 μB/f.u.
# Formation energy (no corrections): -40.78 kcal/mol of atoms
# Polymorph energy (0 for the lowest one): 25 meV/atom
data_PmTeCl
_space_group_name_H-M_alt 'P -1'
_space_group_IT_number 2
_space_group_name_Hall '-P 1'
_cell_length_a 4.053
_cell_length_b 4.609
_cell_length_c 10.964
_cell_angle_alpha 90.26
_cell_angle_beta 90.14
_cell_angle_gamma 90.00
loop_
_atom_site_label
_atom_site_fract_x
_atom_site_fract_y
_atom_site_fract_z
Pm1 0.249 0.248 0.304
Te1 0.251 0.251 0.604
Cl1 0.252 0.754 0.869

# PBE Pm6Te5Cl, relaxed
# Total magnetic moment: 0.0 μB/f.u.
# Formation energy (no corrections): -31.70 kcal/mol of atoms
data_Pm6Te5Cl
_space_group_name_H-M_alt 'C 1 2/m 1'
_space_group_IT_number 12
_space_group_name_Hall '-C 2y'
_cell_length_a 7.649
_cell_length_b 13.173
_cell_length_c 7.587
_cell_angle_alpha 90.00
_cell_angle_beta 109.21
_cell_angle_gamma 90.00
loop_
_atom_site_label
_atom_site_fract_x
_atom_site_fract_y
_atom_site_fract_z
Pm1 0.216 0.000 0.257
Pm2 0.222 0.150 0.725
Te1 0.000 0.182 0.000
Te2 0.000 0.338 0.500
Te3 0.000 0.500 0.000
Cl1 0.000 0.000 0.500

# PBE Pm2Te2Cl, relaxed
# Total magnetic moment: 0.0 μB/f.u.
# Formation energy (no corrections): -37.79 kcal/mol of atoms
# Polymorph energy (0 for the lowest one): 0 meV/atom
data_Pm2Te2Cl
_space_group_name_H-M_alt 'I 4/m m m'
_space_group_IT_number 139
_space_group_name_Hall '-I 4 2'
_cell_length_a 4.455
_cell_length_b 4.455
_cell_length_c 17.246
_cell_angle_alpha 90.00
_cell_angle_beta 90.00
_cell_angle_gamma 90.00
loop_
_atom_site_label
_atom_site_fract_x
_atom_site_fract_y
_atom_site_fract_z
Pm1 0.000 0.000 0.158
Te1 0.000 0.000 0.344
Cl1 0.000 0.000 0.000

# PBE Pm2TeCl, relaxed
# Total magnetic moment: 0.0 μB/f.u.
# Formation energy (no corrections): -28.72 kcal/mol of atoms
# Polymorph energy (0 for the lowest one): 41 meV/atom
data_Pm2TeCl
_space_group_name_H-M_alt 'P 4/m m m'
_space_group_IT_number 123
_space_group_name_Hall '-P 4 2'
_cell_length_a 3.753
_cell_length_b 3.753
_cell_length_c 7.356
_cell_angle_alpha 90.00
_cell_angle_beta 90.00
_cell_angle_gamma 90.00
loop_
_atom_site_label
_atom_site_fract_x
_atom_site_fract_y
_atom_site_fract_z
Pm1 0.000 0.000 0.247
Te1 0.500 0.500 0.000
Cl1 0.500 0.500 0.500